# LiYP2, relaxed, DFT PBE
data_LiYP2
_chemical_formula_sum 'Li1 Y1 P2'
_cell_length_a 4.363
_cell_length_b 4.363
_cell_length_c 3.774
_cell_angle_alpha 90.00
_cell_angle_beta 90.00
_cell_angle_gamma 90.00
_space_group_name_H-M_alt 'P 4 m m'
_space_group_IT_number 99
loop_
_space_group_symop_operation_xyz
'x,y,z'
'-y,x,z'
'-x,-y,z'
'y,-x,z'
'-x,y,z'
'y,x,z'
'x,-y,z'
'-y,-x,z'
loop_
_atom_site_label
_atom_site_type_symbol
_atom_site_fract_x
_atom_site_fract_y
_atom_site_fract_z
Li1 Li 0.000 0.000 0.000
Y1 Y 0.500 0.500 0.998
P1 P 0.000 0.500 0.498
# DOS(E_F) in states/eV/atom: 0.48
# Energy in Ry/atom: -0.4058
# Energy of formation from the pure elements in eV per formula unit: -2.89
# Magnetization in Bohr magnetons per cell: 0.0
# V in Å³ per atom: 17.96
# Excess energy over the best structure of this formula in the dataset in eV/atom: 0.149

***

# PrY4Ho3, relaxed, DFT PBE
data_PrY4Ho3
_chemical_formula_sum 'Pr2 Y8 Ho6'
_cell_length_a 11.338
_cell_length_b 7.309
_cell_length_c 6.311
_cell_angle_alpha 90.00
_cell_angle_beta 90.00
_cell_angle_gamma 90.00
_space_group_name_H-M_alt 'P m n 21'
_space_group_IT_number 31
loop_
_space_group_symop_operation_xyz
'x,y,z'
'-x+1/2,-y,z+1/2'
'-x,y,z'
'x+1/2,-y,z+1/2'
loop_
_atom_site_label
_atom_site_type_symbol
_atom_site_fract_x
_atom_site_fract_y
_atom_site_fract_z
Pr1 Pr 0.000 0.124 0.000
Y1 Y 0.000 0.375 0.498
Y2 Y 0.000 0.626 0.996
Y3 Y 0.248 0.625 0.334
Ho1 Ho 0.000 0.875 0.499
Ho2 Ho 0.250 0.125 0.331
# DOS(E_F) in states/eV/atom: 1.70
# Energy in Ry/atom: -0.4071
# Energy of formation from the pure elements in eV per formula unit: 0.06
# Magnetization in Bohr magnetons per cell: 0.0
# V in Å³ per atom: 32.68
# Excess energy over the best structure of this formula in the dataset in eV/atom: 0.000

***

# CeSmCu, relaxed, DFT PBE
data_CeSmCu
_chemical_formula_sum 'Ce2 Sm2 Cu2'
_cell_length_a 3.529
_cell_length_b 3.529
_cell_length_c 12.300
_cell_angle_alpha 90.00
_cell_angle_beta 90.00
_cell_angle_gamma 90.00
_space_group_name_H-M_alt 'I 4 m m'
_space_group_IT_number 107
_space_group_name_Hall 'I 4 -2'
loop_
_atom_site_label
_atom_site_type_symbol
_atom_site_fract_x
_atom_site_fract_y
_atom_site_fract_z
Ce1 Ce 0.000 0.000 0.000
Sm1 Sm 0.000 0.000 0.715
Cu1 Cu 0.000 0.000 0.357
# DOS(E_F) in states/eV/atom: 1.97
# Energy in Ry/atom: -0.3618
# Energy of formation from the pure elements in eV per formula unit: -0.02
# Magnetization in Bohr magnetons per cell: 2.4
# V in Å³ per atom: 25.53
# Excess energy over the best structure of this formula in the dataset in eV/atom: 0.000

***

# Tb3Pm2HoAs6, relaxed, DFT PBE
data_Tb3Pm2HoAs6
_chemical_formula_sum 'Tb6 Pm4 Ho2 As12'
_cell_length_a 18.156
_cell_length_b 4.168
_cell_length_c 8.331
_cell_angle_alpha 90.00
_cell_angle_beta 103.26
_cell_angle_gamma 90.00
_space_group_name_H-M_alt 'C 1 2/m 1'
_space_group_IT_number 12
loop_
_space_group_symop_operation_xyz
'x,y,z'
'-x,-y,-z'
'-x,y,-z'
'x,-y,z'
'x+1/2,y+1/2,z'
'-x+1/2,-y+1/2,-z'
'-x+1/2,y+1/2,-z'
'x+1/2,-y+1/2,z'
loop_
_atom_site_label
_atom_site_type_symbol
_atom_site_fract_x
_atom_site_fract_y
_atom_site_fract_z
Tb1 Tb 0.000 0.000 0.000
Tb2 Tb 0.167 0.500 0.334
Pm1 Pm 0.166 0.500 0.832
Ho1 Ho 0.000 0.000 0.500
As1 As 0.002 0.500 0.253
As2 As 0.165 0.000 0.087
As3 As 0.166 0.000 0.578
# DOS(E_F) in states/eV/atom: 0.15
# Energy in Ry/atom: -0.4546
# Energy of formation from the pure elements in eV per formula unit: -18.36
# Magnetization in Bohr magnetons per cell: 0.0
# V in Å³ per atom: 25.57

***

# Na6AgPb, relaxed, DFT PBE
data_Na6AgPb
_chemical_formula_sum 'Na6 Ag1 Pb1'
_cell_length_a 6.126
_cell_length_b 6.123
_cell_length_c 6.126
_cell_angle_alpha 90.00
_cell_angle_beta 90.30
_cell_angle_gamma 90.00
_space_group_name_H-M_alt 'P 1 2/m 1'
_space_group_IT_number 10
loop_
_space_group_symop_operation_xyz
'x,y,z'
'-x,-y,-z'
'-x,y,-z'
'x,-y,z'
loop_
_atom_site_label
_atom_site_type_symbol
_atom_site_fract_x
_atom_site_fract_y
_atom_site_fract_z
Na1 Na 0.000 0.000 0.250
Na2 Na 0.250 0.500 0.499
Na3 Na 0.500 0.250 0.000
Ag1 Ag 0.000 0.500 0.000
Pb1 Pb 0.500 0.000 0.500
# DOS(E_F) in states/eV/atom: 0.29
# Energy in Ry/atom: -0.1373
# Energy of formation from the pure elements in eV per formula unit: -0.47
# Magnetization in Bohr magnetons per cell: 0.0
# V in Å³ per atom: 28.72
# Excess energy over the best structure of this formula in the dataset in eV/atom: 0.010

***

# YSe3I, relaxed, DFT PBE
data_YSe3I
_chemical_formula_sum 'Y1 Se3 I1'
_cell_length_a 5.506
_cell_length_b 5.506
_cell_length_c 5.506
_cell_angle_alpha 90.00
_cell_angle_beta 90.00
_cell_angle_gamma 90.00
_space_group_name_H-M_alt 'P m -3 m'
_space_group_IT_number 221
_space_group_name_Hall '-P 4 2 3'
loop_
_atom_site_label
_atom_site_type_symbol
_atom_site_fract_x
_atom_site_fract_y
_atom_site_fract_z
Y1 Y 0.000 0.000 0.000
Se1 Se 0.000 0.000 0.500
I1 I 0.500 0.500 0.500
# DOS(E_F) in states/eV/atom: 1.80
# Energy in Ry/atom: -0.2891
# Magnetization in Bohr magnetons per cell: 0.0
# Formation energy without anion corrections in meV per atom: -240
# V in Å³ per atom: 33.38
# Excess energy over the best structure of this formula in the dataset in eV/atom: 0.000

***

# AcZn, relaxed, DFT PBE
data_AcZn
_chemical_formula_sum 'Ac4 Zn4'
_cell_length_a 4.953
_cell_length_b 10.707
_cell_length_c 4.586
_cell_angle_alpha 90.00
_cell_angle_beta 90.00
_cell_angle_gamma 90.00
_space_group_name_H-M_alt 'C m c m'
_space_group_IT_number 63
_space_group_name_Hall '-C 2c 2'
loop_
_atom_site_label
_atom_site_type_symbol
_atom_site_fract_x
_atom_site_fract_y
_atom_site_fract_z
Ac1 Ac 0.000 0.146 0.250
Zn1 Zn 0.000 0.444 0.250
# DOS(E_F) in states/eV/atom: 0.59
# Energy in Ry/atom: -0.2145
# Energy of formation from the pure elements in eV per formula unit: -0.45
# Magnetization in Bohr magnetons per cell: 0.0
# V in Å³ per atom: 30.40

***

# PuMgInCl6, relaxed, DFT PBE
data_PuMgInCl6
_chemical_formula_sum 'Pu2 Mg2 In2 Cl12'
_cell_length_a 6.9277
_cell_length_b 6.9277
_cell_length_c 13.7433
_cell_angle_alpha 90.00
_cell_angle_beta 90.00
_cell_angle_gamma 120.00
_space_group_name_H-M_alt 'P -3 1 c'
_space_group_IT_number 163
_space_group_name_Hall '-P 3 2c'
loop_
_atom_site_label
_atom_site_type_symbol
_atom_site_fract_x
_atom_site_fract_y
_atom_site_fract_z
Pu1 Pu 0.3333 0.6667 0.2500
Mg1 Mg 0.3333 0.6667 0.7500
In1 In 0.0000 0.0000 0.0000
Cl1 Cl 0.0214 0.3806 0.6438
# DOS(E_F) in states/eV/atom: 1.13
# Energy in Ry/atom: -0.3639
# Magnetization in Bohr magnetons per cell: 10.0
# Formation energy without anion corrections in meV per atom: -1646
# V in Å³ per atom: 31.73

***

# TlSiN3, relaxed, DFT PBE
data_TlSiN3
_chemical_formula_sum 'Tl1 Si1 N3'
_cell_length_a 4.308
_cell_length_b 4.308
_cell_length_c 4.308
_cell_angle_alpha 90.00
_cell_angle_beta 90.00
_cell_angle_gamma 90.00
_space_group_name_H-M_alt 'P m -3 m'
_space_group_IT_number 221
_space_group_name_Hall '-P 4 2 3'
loop_
_atom_site_label
_atom_site_type_symbol
_atom_site_fract_x
_atom_site_fract_y
_atom_site_fract_z
Tl1 Tl 0.000 0.000 0.000
Si1 Si 0.500 0.500 0.500
N1 N 0.000 0.000 0.500
# DOS(E_F) in states/eV/atom: 0.55
# Energy in Ry/atom: -0.2861
# Magnetization in Bohr magnetons per cell: 3.2
# Formation energy without anion corrections in meV per atom: 2661
# V in Å³ per atom: 16.00

***

# LiCeGdPb, relaxed, DFT PBE
data_LiCeGdPb
_chemical_formula_sum 'Li4 Ce4 Gd4 Pb4'
_cell_length_a 7.662
_cell_length_b 7.662
_cell_length_c 7.662
_cell_angle_alpha 90.00
_cell_angle_beta 90.00
_cell_angle_gamma 90.00
_space_group_name_H-M_alt 'F -4 3 m'
_space_group_IT_number 216
_space_group_name_Hall 'F -4 2 3'
loop_
_atom_site_label
_atom_site_type_symbol
_atom_site_fract_x
_atom_site_fract_y
_atom_site_fract_z
Li1 Li 0.000 0.000 0.000
Ce1 Ce 0.250 0.250 0.750
Gd1 Gd 0.250 0.250 0.250
Pb1 Pb 0.000 0.000 0.500
# DOS(E_F) in states/eV/atom: 3.09
# Energy in Ry/atom: -0.4860
# Energy of formation from the pure elements in eV per formula unit: -0.81
# Magnetization in Bohr magnetons per cell: 36.8
# V in Å³ per atom: 28.11

***

# NpPaTiGa, relaxed, DFT PBE
data_NpPaTiGa
_chemical_formula_sum 'Np4 Pa4 Ti4 Ga4'
_cell_length_a 6.846
_cell_length_b 6.846
_cell_length_c 6.846
_cell_angle_alpha 90.00
_cell_angle_beta 90.00
_cell_angle_gamma 90.00
_space_group_name_H-M_alt 'F -4 3 m'
_space_group_IT_number 216
_space_group_name_Hall 'F -4 2 3'
loop_
_atom_site_label
_atom_site_type_symbol
_atom_site_fract_x
_atom_site_fract_y
_atom_site_fract_z
Np1 Np 0.000 0.000 0.000
Pa1 Pa 0.250 0.250 0.750
Ti1 Ti 0.250 0.250 0.250
Ga1 Ga 0.000 0.000 0.500
# DOS(E_F) in states/eV/atom: 2.79
# Energy in Ry/atom: -0.6068
# Energy of formation from the pure elements in eV per formula unit: 0.33
# Magnetization in Bohr magnetons per cell: 24.0
# V in Å³ per atom: 20.05

***

# CdIrSe, relaxed, DFT PBE
data_CdIrSe
_chemical_formula_sum 'Cd1 Ir1 Se1'
_cell_length_a 3.4751
_cell_length_b 3.4751
_cell_length_c 6.0011
_cell_angle_alpha 90.00
_cell_angle_beta 90.00
_cell_angle_gamma 120.00
_space_group_name_H-M_alt 'P 3 m 1'
_space_group_IT_number 156
loop_
_space_group_symop_operation_xyz
'x,y,z'
'-y,x-y,z'
'-x+y,-x,z'
'-y,-x,z'
'-x+y,y,z'
'x,x-y,z'
loop_
_atom_site_label
_atom_site_type_symbol
_atom_site_fract_x
_atom_site_fract_y
_atom_site_fract_z
Cd1 Cd 0.0000 0.0000 0.0000
Ir1 Ir 0.6667 0.3333 0.3404
Se1 Se 0.3333 0.6667 0.5649
# DOS(E_F) in states/eV/atom: 0.71
# Energy in Ry/atom: -0.3177
# Magnetization in Bohr magnetons per cell: 0.0
# Formation energy without anion corrections in meV per atom: 98
# V in Å³ per atom: 20.92
# Excess energy over the best structure of this formula in the dataset in eV/atom: 0.000